[1]
Ta3InSi: relaxed, GGA-PBE.

The theoretical density is 11.07 g cm⁻³. The uncorrected energy comes out at -0.2947 hartree per atom. As for the formation energy (no corrections): 724 meV per atom. Its symmetry is Pm-3m, No. 221. The value obtained for the density of states at the Fermi level is 6.5 states/eV per cell. The distance to the lowest polymorph of the same formula is 0.0 meV per atom. As for the crystal system: cubic.

Lattice parameters (Å, degrees): 4.6855 4.6855 4.6855 90.00 90.00 90.00
Atoms (fractional coordinates):
Ta (0.0000, 0.0000, 0.5000)
Ta (0.0000, 0.5000, 0.0000)
Ta (0.5000, 0.0000, 0.0000)
In (0.5000, 0.5000, 0.5000)
Si (0.0000, 0.0000, 0.0000)

=====

[2]
TcSb4Te: relaxed, GGA-PBE.

The theoretical density is 7.06 g cm⁻³. The uncorrected energy comes out at -0.1513 hartree per atom. As for the formation energy (no corrections): 882 meV per atom. Its symmetry is F-43m, No. 216. The value obtained for the density of states at the Fermi level is 3.6 states/eV per cell. As for the crystal system: cubic.

Lattice parameters (Å, degrees): 6.1874 6.1874 6.1874 60.00 60.00 60.00
Atoms (fractional coordinates):
Tc (0.0000, 0.0000, 0.0000)
Sb (0.3748, 0.3748, 0.3748)
Sb (0.3748, 0.3748, 0.8756)
Sb (0.3748, 0.8756, 0.3748)
Sb (0.8756, 0.3748, 0.3748)
Te (0.7500, 0.7500, 0.7500)